A plane-wave DFT calculation with SCAN was carried out for Li2MgPb at its PBEsol-relaxed geometry.

Values from the calculation:
Its space group is No. 225. The formation energy comes out at -389 meV per atom. For the raw total energy, the calculation gives -21.772 eV per atom.

```
Li2MgPb
1.0
-0.8713 -0.7929 4.6046
2.0434 -3.6809 2.2058
3.4058 0.7564 3.2277
Pb Mg Li
1 1 2
direct
0.5000 0.5000 0.5000 Pb
0.0000 0.0000 0.0000 Mg
0.2500 0.2500 0.2500 Li
0.7500 0.7500 0.7500 Li
```